Entry 1:
First-principles (GGA-PBE) data for a geometry-optimized Y2Ge4Pd5 structure, as listed in Alexandria via LeMat-Bulk.

Properties
Theoretical density = 7997 kg/m³
Energy relative to the elements = -640 meV/atom
Total energy = -5.854 eV/atom

Unit cell a=5.668 b=9.681 c=15.143 alpha=90.00 beta=90.00 gamma=90.00
Space group Fmmm (No. 69)
Symmetry-distinct sites (fractional):
Y 0.000 0.000 0.138 (multiplicity 8)
Ge 0.000 0.146 0.367 (multiplicity 16)
Pd 0.000 0.000 0.500 (multiplicity 4)
Pd 0.250 0.250 0.000 (multiplicity 8)
Pd 0.250 0.250 0.250 (multiplicity 8)

Entry 2:
First-principles (GGA-PBE) data for a geometry-optimized Y2GePd2 structure, as listed in Alexandria via LeMat-Bulk.

Properties
Theoretical density = 6678 kg/m³
Energy relative to the elements = -624 meV/atom
Total energy = -6.210 eV/atom

Unit cell a=5.488 b=5.488 c=7.650 alpha=90.00 beta=90.00 gamma=90.00
Space group I4/mmm (No. 139)
Symmetry-distinct sites (fractional):
Y 0.000 0.500 0.250 (multiplicity 4)
Ge 0.000 0.000 0.000 (multiplicity 2)
Pd 0.000 0.000 0.336 (multiplicity 4)